[1]
This record from the Alexandria database describes crystalline Cs2CeNd2S6 at its relaxed geometry. The functional is PBE.

```
Cs2CeNd2S6
1.0
-3.290 -0.775 6.385
2.523 -5.814 -3.468
7.495 3.083 2.845
S Ce Cs Nd
6 1 2 2
direct
0.941 0.617 0.321
0.383 0.059 0.679
0.259 0.259 0.321
0.059 0.383 0.679
0.741 0.741 0.679
0.617 0.941 0.321
0.000 0.000 0.500
0.169 0.831 0.000
0.831 0.169 0.000
0.666 0.334 0.500
0.334 0.666 0.500
```

The uncorrected formation energy is -1.82 eV per atom. Its uncorrected energy is -5.6373 eV/atom.

***

[2]
This record from the Alexandria database describes crystalline CsKO2F at its relaxed geometry. The functional is PBE.

```
CsKO2F
1.0
5.164 0.000 0.000
0.000 5.164 0.000
0.000 0.000 4.996
Cs O K F
1 2 1 1
direct
0.500 0.500 0.500
0.500 0.000 0.000
0.000 0.500 0.000
0.000 0.000 0.000
0.000 0.000 0.500
```

The uncorrected formation energy is -0.74 eV per atom. Its uncorrected energy is -3.4876 eV/atom.

***

[3]
This record from the Alexandria database describes crystalline Ho2AlAg2 at its relaxed geometry. The functional is PBE.

```
Ho2AlAg2
1.0
7.448 0.000 0.000
0.000 7.448 0.000
0.000 0.000 8.264
Al Ag Ho
4 8 8
direct
0.000 0.000 0.250
0.000 0.000 0.750
0.500 0.500 0.250
0.500 0.500 0.750
0.367 0.867 0.250
0.867 0.633 0.250
0.133 0.367 0.250
0.367 0.867 0.750
0.133 0.367 0.750
0.867 0.633 0.750
0.633 0.133 0.750
0.633 0.133 0.250
0.174 0.674 0.000
0.674 0.826 0.500
0.674 0.826 0.000
0.326 0.174 0.500
0.826 0.326 0.000
0.326 0.174 0.000
0.174 0.674 0.500
0.826 0.326 0.500
```

Its uncorrected energy is -4.0149 eV/atom.

***

[4]
This record from the Alexandria database describes crystalline CeDyEr3 at its relaxed geometry. The functional is PBE.

```
CeDyEr3
1.0
-0.696 8.448 -5.059
-0.633 -5.191 -6.720
-6.942 1.181 4.788
Er Dy Ce
12 4 4
direct
0.449 0.884 0.260
0.823 0.974 0.420
0.380 0.302 0.503
0.323 0.420 0.974
0.620 0.698 0.497
0.949 0.260 0.884
0.880 0.503 0.302
0.177 0.026 0.580
0.051 0.740 0.116
0.551 0.116 0.740
0.677 0.580 0.026
0.120 0.497 0.698
0.750 0.990 0.010
0.750 0.400 0.600
0.250 0.010 0.990
0.250 0.600 0.400
0.457 0.719 0.811
0.043 0.189 0.281
0.957 0.811 0.719
0.543 0.281 0.189
```

Its uncorrected energy is -4.6902 eV/atom.

***

[5]
This record from the Alexandria database describes crystalline AlGaTe2N at its relaxed geometry. The functional is PBE.

```
AlGaTe2N
1.0
5.858 0.000 0.000
0.000 5.858 0.000
0.000 0.000 3.439
Te N Al Ga
2 1 1 1
direct
0.000 0.500 0.000
0.500 0.000 0.000
0.000 0.000 0.500
0.000 0.000 0.000
0.500 0.500 0.500
```

The uncorrected formation energy is 0.17 eV per atom. Its uncorrected energy is -4.1047 eV/atom.

***

[6]
This record from the Alexandria database describes crystalline NaZr3H at its relaxed geometry. The functional is PBE.

```
NaZr3H
1.0
-2.325 -3.494 1.762
1.220 -2.595 -3.536
3.719 -1.334 2.262
H Zr Na
1 3 1
direct
0.000 0.000 0.000
0.000 0.000 0.500
0.000 0.500 0.000
0.500 0.000 0.000
0.500 0.500 0.500
```

Its uncorrected energy is -5.8401 eV/atom.

***

[7]
This record from the Alexandria database describes crystalline DyTmCoHg at its relaxed geometry. The functional is PBE.

```
DyTmCoHg
1.0
3.409 0.000 0.000
0.000 3.409 0.000
0.000 0.000 7.479
Co Dy Tm Hg
1 1 1 1
direct
0.000 0.000 0.566
0.500 0.500 0.787
0.500 0.500 0.354
0.000 0.000 0.077
```

Its uncorrected energy is -4.4710 eV/atom.

***

[8]
This record from the Alexandria database describes crystalline NaSr4Ru3O12 at its relaxed geometry. The functional is PBE.

```
NaSr4Ru3O12
1.0
-3.631 -2.071 5.562
5.853 -3.732 -0.469
1.593 6.741 0.650
O Ru Sr Na
12 3 4 1
direct
0.734 0.734 0.000
0.000 0.266 0.266
0.250 0.500 0.750
0.750 0.250 0.500
0.266 0.266 0.000
0.266 0.000 0.266
0.734 0.000 0.734
0.000 0.734 0.734
0.250 0.750 0.500
0.500 0.750 0.250
0.500 0.250 0.750
0.750 0.500 0.250
0.500 0.000 0.500
0.500 0.500 0.000
0.000 0.500 0.500
0.500 0.500 0.500
0.500 0.000 0.000
0.000 0.500 0.000
0.000 0.000 0.500
0.000 0.000 0.000
```

The uncorrected formation energy is -1.75 eV per atom. Its uncorrected energy is -6.5168 eV/atom.

***

[9]
This record from the Alexandria database describes crystalline Cs3H2Au at its relaxed geometry. The functional is PBE.

```
Cs3H2Au
1.0
-0.811 0.950 -4.460
7.858 -1.419 -1.731
-5.183 -11.161 -1.436
Cs H Au
6 4 2
direct
0.250 0.208 0.987
0.750 0.792 0.013
0.250 0.119 0.655
0.750 0.652 0.642
0.250 0.348 0.358
0.750 0.881 0.345
0.750 0.013 0.822
0.750 0.242 0.504
0.250 0.758 0.496
0.250 0.987 0.178
0.750 0.469 0.170
0.250 0.531 0.830
```

Its uncorrected energy is -2.2766 eV/atom.

***

[10]
This record from the Alexandria database describes crystalline TbCd2F6 at its relaxed geometry. The functional is PBE.

```
TbCd2F6
1.0
3.898 0.000 0.000
1.949 5.903 -0.516
1.949 1.882 6.375
Cd F Tb
2 6 1
direct
0.844 0.213 0.100
0.156 0.787 0.900
0.958 0.824 0.259
0.042 0.176 0.741
0.626 0.322 0.426
0.780 0.597 0.843
0.374 0.678 0.574
0.220 0.403 0.157
0.000 0.500 0.500
```

The uncorrected formation energy is -2.80 eV per atom. Its uncorrected energy is -4.7608 eV/atom.

***

[11]
This record from the Alexandria database describes crystalline LaYFe3 at its relaxed geometry. The functional is PBE.

```
LaYFe3
1.0
4.921 0.000 0.000
0.000 4.921 0.000
0.000 0.000 4.921
Y Fe La
1 3 1
direct
0.000 0.000 0.000
0.000 0.000 0.500
0.000 0.500 0.000
0.500 0.000 0.000
0.500 0.500 0.500
```

Its uncorrected energy is -6.2635 eV/atom.

***

[12]
This record from the Alexandria database describes crystalline SrEu2N at its relaxed geometry. The functional is PBE.

```
SrEu2N
1.0
-2.985 0.812 2.171
-3.244 -1.881 -0.468
0.964 -7.284 7.341
Sr Eu N
1 2 1
direct
0.500 0.500 0.500
0.711 0.711 0.867
0.289 0.289 0.133
0.000 0.000 0.000
```

The uncorrected formation energy is -0.49 eV per atom. Its uncorrected energy is -8.1321 eV/atom.

***

[13]
This record from the Alexandria database describes crystalline BaIn2Cu at its relaxed geometry. The functional is PBE.

```
BaIn2Cu
1.0
-3.338 1.823 -2.818
-1.273 -4.186 -1.200
-3.508 -0.105 4.088
In Ba Cu
2 1 1
direct
0.500 0.500 0.000
0.000 0.000 0.000
0.500 0.000 0.500
0.000 0.500 0.500
```

Its uncorrected energy is -2.8498 eV/atom.

***

[14]
This record from the Alexandria database describes crystalline PrAlI at its relaxed geometry. The functional is PBE.

```
PrAlI
1.0
4.039 0.000 0.000
0.000 4.035 0.000
0.000 0.000 24.621
I Pr Al
4 4 4
direct
0.749 0.250 0.829
0.251 0.750 0.171
0.250 0.750 0.671
0.750 0.250 0.329
0.750 0.250 0.605
0.750 0.250 0.105
0.250 0.750 0.395
0.250 0.750 0.895
0.250 0.250 0.000
0.750 0.750 0.500
0.750 0.750 0.000
0.250 0.250 0.500
```

The uncorrected formation energy is -0.70 eV per atom. Its uncorrected energy is -4.0610 eV/atom.

***

[15]
This record from the Alexandria database describes crystalline KNaInPb at its relaxed geometry. The functional is PBE.

```
KNaInPb
1.0
5.620 0.000 0.000
2.810 4.867 0.000
2.810 1.622 4.589
Pb K In Na
1 1 1 1
direct
0.250 0.250 0.250
0.750 0.750 0.750
0.500 0.500 0.500
0.000 0.000 0.000
```

Its uncorrected energy is -2.3089 eV/atom.

***

[16]
This record from the Alexandria database describes crystalline LiTlPd6 at its relaxed geometry. The functional is PBE.

```
LiTlPd6
1.0
5.582 0.919 0.000
2.191 5.174 0.000
1.096 2.587 5.029
Pd Tl Li
6 1 1
direct
0.249 0.523 0.471
0.249 0.994 0.529
0.230 0.228 0.000
0.751 0.477 0.529
0.751 0.006 0.471
0.770 0.772 0.000
0.500 0.500 0.000
0.000 0.000 0.000
```

Its uncorrected energy is -4.3545 eV/atom.

***

[17]
This record from the Alexandria database describes crystalline Tl2Cd5Hg2 at its relaxed geometry. The functional is PBE.

```
Tl2Cd5Hg2
1.0
8.034 0.000 0.000
0.000 6.173 0.000
-4.017 -3.087 9.407
Cd Tl Hg
10 4 4
direct
0.151 0.087 0.815
0.836 0.772 0.185
0.636 0.575 0.339
0.203 0.075 0.339
0.797 0.737 0.661
0.364 0.237 0.661
0.849 0.272 0.185
0.164 0.587 0.815
0.052 0.806 0.500
0.948 0.306 0.500
0.458 0.004 0.157
0.542 0.847 0.843
0.801 0.347 0.843
0.199 0.504 0.157
0.500 0.422 0.000
0.000 0.922 0.000
0.383 0.586 0.500
0.617 0.086 0.500
```

Its uncorrected energy is -1.0722 eV/atom.

***

[18]
This record from the Alexandria database describes crystalline CaPrGe4 at its relaxed geometry. The functional is PBE.

```
CaPrGe4
1.0
-5.318 1.488 -1.582
-2.332 -2.275 -4.731
-4.296 -3.787 0.451
Ge Pr Ca
4 1 1
direct
0.625 0.125 0.625
0.625 0.625 0.625
0.125 0.625 0.625
0.625 0.625 0.125
0.250 0.250 0.250
0.000 0.000 0.000
```

Its uncorrected energy is -4.5747 eV/atom.

***

[19]
This record from the Alexandria database describes crystalline Be2SiOs2 at its relaxed geometry. The functional is PBE.

```
Be2SiOs2
1.0
6.233 0.000 0.000
0.000 6.233 0.000
0.000 0.000 3.132
Si Os Be
2 4 4
direct
0.000 0.000 0.000
0.500 0.500 0.000
0.658 0.158 0.000
0.842 0.658 0.000
0.342 0.842 0.000
0.158 0.342 0.000
0.366 0.134 0.500
0.866 0.366 0.500
0.134 0.634 0.500
0.634 0.866 0.500
```

The uncorrected formation energy is -0.14 eV per atom. Its uncorrected energy is -7.2096 eV/atom.

***

[20]
This record from the Alexandria database describes crystalline Sc5As3 at its relaxed geometry. The functional is PBE.

```
Sc5As3
1.0
-0.282 6.041 -4.007
-6.705 -2.812 -3.767
-6.153 4.667 7.470
Sc As
20 12
direct
0.470 0.250 0.004
0.691 0.053 0.570
0.849 0.250 0.793
0.030 0.250 0.504
0.167 0.250 0.223
0.833 0.750 0.777
0.651 0.250 0.293
0.309 0.947 0.430
0.309 0.553 0.430
0.191 0.947 0.930
0.691 0.447 0.570
0.191 0.553 0.930
0.333 0.250 0.723
0.349 0.750 0.707
0.809 0.053 0.070
0.667 0.750 0.277
0.530 0.750 0.996
0.809 0.447 0.070
0.151 0.750 0.207
0.970 0.750 0.496
0.436 0.510 0.172
0.584 0.750 0.519
0.936 0.490 0.328
0.064 0.990 0.672
0.564 0.490 0.828
0.916 0.750 0.019
0.416 0.250 0.481
0.084 0.250 0.981
0.436 0.990 0.172
0.564 0.010 0.828
0.064 0.510 0.672
0.936 0.010 0.328
```

Its uncorrected energy is -6.8172 eV/atom.